Entry 1:
{"formula": "La4Sm11Ho9", "functional": "GGA-PBE", "state": "optimized geometry", "final_energy_ev_per_atom": -4.627, "magmom_total_mub_per_fu": 0.000, "ef_ev_per_atom": 0.074, "lattice": [[3.7277, 0.0000, 0.0000], [0.0000, 14.0886, -5.9484], [0.0000, 0.0668, 15.2927]], "species": ["Ho", "Sm", "Ho", "La", "La", "Sm", "La", "Sm", "Ho", "Ho", "Sm", "Sm", "Ho", "Ho", "La", "Sm", "Ho", "Ho", "Sm", "Sm", "Sm", "Ho", "Sm", "Sm"], "frac_coords": [[0.5000, 0.7899, 0.9352], [0.0000, 0.8412, 0.1588], [0.5000, 0.8376, 0.3639], [0.5000, 0.7550, 0.5542], [0.5000, 0.5542, 0.7550], [0.0000, 0.0443, 0.4066], [0.5000, 0.2450, 0.4458], [0.0000, 0.9557, 0.5934], [0.5000, 0.2101, 0.0648], [0.5000, 0.6361, 0.1624], [0.0000, 0.6357, 0.3644], [0.0000, 0.3644, 0.6357], [0.5000, 0.5000, 0.5000], [0.5000, 0.3639, 0.8376], [0.5000, 0.4458, 0.2450], [0.0000, 0.5934, 0.9557], [0.5000, 0.9352, 0.7899], [0.5000, 0.1624, 0.6361], [0.0000, 0.7127, 0.7127], [0.0000, 0.1588, 0.8412], [0.0000, 0.0000, 0.0000], [0.5000, 0.0648, 0.2101], [0.0000, 0.4066, 0.0443], [0.0000, 0.2873, 0.2873]]}

Entry 2:
{"formula": "LaSm14Ho", "functional": "GGA-PBE", "state": "optimized geometry", "final_energy_ev_per_atom": -4.721, "magmom_total_mub_per_fu": 0.000, "ef_ev_per_atom": 0.003, "lattice": [[-6.7724, 2.6676, 0.4758], [3.0223, -1.1408, -6.5401], [-4.3129, -10.9342, -0.0857]], "species": ["Sm", "Sm", "Sm", "Sm", "Sm", "Sm", "La", "Sm", "Ho", "Sm", "Sm", "Sm", "Sm", "Sm", "Sm", "Sm"], "frac_coords": [[0.2091, 0.2930, 0.5000], [0.3758, 0.1258, 0.2495], [0.8747, 0.1253, 0.2521], [0.5433, 0.9591, 0.0000], [0.3758, 0.1258, 0.7505], [0.0409, 0.4567, 0.0000], [0.2086, 0.7914, 0.5000], [0.8747, 0.1253, 0.7479], [0.7077, 0.2923, 0.5000], [0.8742, 0.6242, 0.2495], [0.8742, 0.6242, 0.7505], [0.5421, 0.4579, 0.0000], [0.3752, 0.6248, 0.7523], [0.0414, 0.9586, 0.0000], [0.3752, 0.6248, 0.2477], [0.7070, 0.7909, 0.5000]]}

Entry 3:
{"formula": "LaSm8Ho5", "functional": "GGA-PBE", "state": "optimized geometry", "final_energy_ev_per_atom": -4.449, "magmom_total_mub_per_fu": 0.001, "ef_ev_per_atom": 0.235, "lattice": [[8.1702, 0.0002, -2.4677], [-4.2380, 6.7592, -3.0309], [0.3061, -0.0002, 8.5292]], "species": ["Sm", "Sm", "Ho", "La", "Sm", "Ho", "Ho", "Ho", "Sm", "Sm", "Sm", "Sm", "Ho", "Sm"], "frac_coords": [[0.3384, 0.2630, 0.4283], [0.7182, 0.2521, 0.3233], [0.8653, 0.9059, 0.1834], [0.2500, 0.5000, 0.7500], [0.0712, 0.7479, 0.4661], [0.0406, 0.3181, 0.1348], [0.8166, 0.6819, 0.7225], [0.2775, 0.0941, 0.9594], [0.6767, 0.3949, 0.9288], [0.9245, 0.0899, 0.6616], [0.1654, 0.7370, 0.0755], [0.5339, 0.6051, 0.2818], [0.5000, 0.0000, 0.5000], [0.5717, 0.9101, 0.8346]]}

Entry 4:
{"formula": "La2Sm3Ho7", "functional": "GGA-PBE", "state": "optimized geometry", "final_energy_ev_per_atom": -4.582, "magmom_total_mub_per_fu": 0.000, "ef_ev_per_atom": 0.089, "de_polymorph_ev_per_atom": 0.000, "lattice": [[3.5377, 0.0000, 0.0000], [0.0000, 6.3374, 0.7483], [0.0000, 2.3814, 17.9053]], "species": ["Sm", "Ho", "Sm", "Ho", "La", "La", "Ho", "Ho", "Ho", "Sm", "Ho", "Ho"], "frac_coords": [[0.0000, 0.8850, 0.6583], [0.5000, 0.0640, 0.1641], [0.0000, 0.1150, 0.3417], [0.5000, 0.9360, 0.8359], [0.5000, 0.6194, 0.3266], [0.5000, 0.3806, 0.6734], [0.0000, 0.4360, 0.8380], [0.5000, 0.2443, 0.4999], [0.5000, 0.7557, 0.5001], [0.5000, 0.5000, 0.0000], [0.0000, 0.5640, 0.1620], [0.0000, 0.0000, 0.0000]]}

Entry 5:
{"formula": "LaSm2Ho12", "functional": "GGA-PBE", "state": "optimized geometry", "final_energy_ev_per_atom": -4.511, "magmom_total_mub_per_fu": 0.000, "ef_ev_per_atom": 0.109, "lattice": [[0.9010, 3.1461, 5.7592], [4.9019, -2.3673, 3.7743], [12.6451, 19.3786, -9.2799]], "species": ["Ho", "Ho", "Sm", "Ho", "Ho", "Ho", "La", "Ho", "Ho", "Ho", "Ho", "Ho", "Ho", "Ho", "Sm", "Ho", "Ho", "Ho", "Ho", "Ho", "Ho", "Ho", "Ho", "Sm", "Ho", "Ho", "La", "Ho", "Ho", "Sm"], "frac_coords": [[0.3325, 0.6659, 0.5546], [0.1787, 0.3213, 0.4287], [0.5437, 0.9563, 0.2738], [0.0006, 0.0003, 0.6681], [0.0003, 0.0006, 0.3319], [0.1055, 0.3945, 0.8615], [0.0007, 0.4993, 0.0000], [0.0585, 0.9412, 0.9238], [0.8190, 0.6810, 0.5723], [0.1675, 0.8341, 0.4454], [0.4036, 0.5965, 0.7977], [0.6659, 0.3325, 0.4454], [0.4997, 0.4994, 0.6681], [0.8341, 0.1675, 0.5546], [0.9563, 0.5437, 0.7262], [0.3945, 0.1055, 0.1385], [0.4994, 0.4997, 0.3319], [0.0964, 0.9035, 0.2023], [0.8947, 0.6053, 0.1384], [0.6810, 0.8190, 0.4277], [0.5965, 0.4036, 0.2023], [0.5588, 0.4415, 0.9238], [0.3213, 0.1787, 0.5713], [0.4572, 0.0428, 0.7263], [0.9412, 0.0585, 0.0762], [0.6053, 0.8947, 0.8616], [0.4993, 0.0007, 0.0000], [0.9035, 0.0964, 0.7977], [0.4415, 0.5588, 0.0762], [0.0428, 0.4572, 0.2737]]}

Entry 6:
{"formula": "La2Sm5Ho5", "functional": "GGA-PBE", "state": "optimized geometry", "final_energy_ev_per_atom": -4.672, "magmom_total_mub_per_fu": 0.000, "ef_ev_per_atom": 0.023, "lattice": [[-1.7260, -2.1852, 4.2640], [5.6249, -9.2378, 0.5839], [3.2833, 3.7954, 6.3153]], "species": ["Ho", "Sm", "La", "Sm", "Sm", "Sm", "La", "Ho", "Ho", "Ho", "Sm", "Ho"], "frac_coords": [[0.6660, 0.0012, 0.6667], [0.0000, 0.0000, 0.0000], [0.3350, 0.5005, 0.8296], [0.3295, 0.7545, 0.5864], [0.9969, 0.7542, 0.2520], [0.6705, 0.2455, 0.4136], [0.6650, 0.4995, 0.1704], [0.0000, 0.5000, 0.5000], [0.3353, 0.2459, 0.0836], [0.6647, 0.7541, 0.9164], [0.0031, 0.2458, 0.7480], [0.3340, 0.9988, 0.3333]]}

Entry 7:
{"formula": "LaSm4Ho5", "functional": "GGA-PBE", "state": "optimized geometry", "final_energy_ev_per_atom": -4.412, "magmom_total_mub_per_fu": 0.001, "ef_ev_per_atom": 0.257, "de_polymorph_ev_per_atom": 0.191, "lattice": [[6.0362, 0.0000, 0.0000], [3.0181, 7.4687, 0.0000], [3.0181, 0.0000, 7.4687]], "species": ["Ho", "Ho", "Ho", "Sm", "Sm", "La", "Sm", "Ho", "Sm", "Ho"], "frac_coords": [[0.7447, 0.0001, 0.3792], [0.1240, 0.9999, 0.6208], [0.6749, 0.0000, 0.0000], [0.8016, 0.6723, 0.6722], [0.4739, 0.6722, 0.3277], [0.2028, 0.0000, 0.0000], [0.4738, 0.3278, 0.6723], [0.1239, 0.6208, 0.0001], [0.1461, 0.3277, 0.3278], [0.7448, 0.3792, 0.9999]]}

Entry 8:
{"formula": "LaSm4Ho", "functional": "GGA-PBE", "state": "optimized geometry", "final_energy_ev_per_atom": -4.710, "magmom_total_mub_per_fu": 0.000, "ef_ev_per_atom": 0.020, "de_polymorph_ev_per_atom": 0.000, "lattice": [[3.6389, 0.0000, 0.0000], [0.0000, 11.8530, -2.2128], [0.0000, -2.6068, 9.9139]], "species": ["Sm", "Sm", "Ho", "Ho", "Sm", "Sm", "La", "Sm", "Sm", "La", "Sm", "Sm"], "frac_coords": [[0.4996, 0.8339, 0.1636], [0.5004, 0.1661, 0.8364], [0.0000, 0.0000, 0.0000], [0.5000, 0.5000, 0.5000], [0.0004, 0.3339, 0.6636], [0.5008, 0.1673, 0.3303], [0.0000, 0.0000, 0.5000], [0.0008, 0.3327, 0.1697], [0.9992, 0.6673, 0.8303], [0.5000, 0.5000, 0.0000], [0.4992, 0.8327, 0.6697], [0.9996, 0.6661, 0.3364]]}